1.
Hf3BiP, relaxed, DFT GGA-PBE; space-group type = Cmmm (65); crystal system = orthorhombic; ΔH_f (0 K) = -2.3 eV/f.u.
1.0
3.975 -0.001 -0.001
0.001 7.654 -0.435
0.002 2.253 7.328
Hf Bi P
6 2 2
Cartesian
1.445 7.748 -0.069
3.434 4.667 5.746
3.433 6.728 2.784
1.445 3.988 3.076
3.432 5.007 0.222
3.433 1.667 5.023
1.446 6.994 5.168
3.432 2.041 1.721
1.446 3.167 5.385
1.445 5.868 1.504

2.
NaErZn10, relaxed, DFT GGA-PBE; space-group type = Pmmm (47); crystal system = orthorhombic; ΔH_f (0 K) = -1.8 eV/f.u.
1.0
-2.350 -3.514 -0.657
4.235 -2.994 0.866
-2.047 -0.306 8.960
Er Zn Na
1 10 1
Cartesian
0.000 0.000 0.000
-2.199 -1.910 4.151
-0.690 -0.103 3.021
0.943 -3.254 0.104
-1.357 -0.203 5.939
-1.712 -2.714 6.711
-0.638 -2.553 2.010
0.476 -4.261 7.158
1.762 -1.550 1.989
0.426 -1.750 7.837
1.550 -4.100 2.458
1.094 -1.650 4.913

3.
K3ReP, relaxed, DFT GGA-PBE; space-group type = Pm-3m (221); crystal system = cubic; ΔH_f (0 K) = 6.3 eV/f.u.
1.0
-2.492 -4.785 -3.104
5.350 -0.788 -3.082
1.977 -3.902 4.429
K Re P
3 1 1
Cartesian
2.675 -0.394 -1.541
-1.246 -2.393 -1.552
0.988 -1.951 2.214
2.417 -4.737 -0.879
0.000 0.000 0.000

4.
Cs12Ca3Br5, relaxed, DFT GGA-PBE; space-group type = Ia-3d (230); crystal system = cubic; formation energy from raw total energies = -0.662 eV per atom
1.0
20.393 0.000 0.000
-6.798 19.227 0.000
-6.798 -9.613 16.651
Cs Br Ca
48 20 12
Cartesian
7.945 2.533 15.097
5.973 -2.710 5.355
15.307 4.537 5.025
-4.224 11.138 13.350
-1.687 -5.076 11.626
8.484 14.690 5.025
-2.252 0.079 13.680
13.335 1.985 0.330
-2.574 -1.186 7.995
4.546 7.001 1.417
11.022 -1.524 3.301
5.111 7.800 6.909
2.252 2.612 15.234
9.049 9.534 2.970
12.770 1.186 7.995
3.139 13.142 6.772
2.252 -2.533 15.097
6.537 3.528 9.879
4.546 12.146 1.554
0.825 12.324 11.296
14.743 9.692 2.970
-3.659 4.100 10.209
8.484 2.724 1.884
3.659 -3.528 9.879
7.623 8.089 13.350
13.856 -4.100 10.209
10.457 17.242 0.330
4.224 2.710 5.355
-5.086 16.503 1.884
-5.973 8.427 8.656
-0.825 1.524 3.301
10.457 5.513 6.441
-8.510 5.076 11.626
-3.659 -7.629 16.320
8.510 -1.813 9.742
1.687 1.813 9.742
2.574 6.903 11.296
0.260 6.085 6.772
-6.537 7.629 16.320
-1.147 7.080 1.554
11.883 -6.890 14.767
-7.945 -0.079 13.680
-1.712 11.427 6.909
-1.687 6.890 14.767
7.945 -2.612 15.234
-1.147 12.225 1.417
9.371 10.799 8.656
-7.058 13.714 6.441
8.497 4.807 12.488
-3.399 9.613 0.000
6.798 -4.807 8.325
0.000 0.000 0.000
8.497 -6.008 14.569
3.399 4.807 8.325
-1.699 1.202 10.407
-3.399 -4.807 8.325
10.197 0.000 0.000
-1.699 15.622 2.081
-1.699 4.807 4.163
11.896 -1.202 10.407
-6.798 4.807 8.325
5.098 14.420 4.163
6.798 9.613 0.000
5.098 3.605 2.081
8.497 8.412 6.244
-5.098 10.815 6.244
1.699 -4.807 12.488
1.699 6.008 14.569
5.098 10.815 10.407
-5.098 3.605 14.569
1.699 -1.202 6.244
11.896 13.218 2.081
15.295 0.000 4.163
11.896 6.008 2.081
-1.699 8.412 10.407
-5.098 -3.605 14.569
1.699 9.613 4.163
8.497 1.202 6.244
-8.497 9.613 12.488
5.098 0.000 12.488

5.
TaNb2Si, relaxed, DFT GGA-PBE; space-group type = R-3m (166); crystal system = trigonal; formation energy from raw total energies = 0.025 eV per atom
1.0
-3.209 -0.158 -0.515
-1.536 -2.864 0.170
-2.865 0.134 7.529
Nb Ta Si
2 1 1
Cartesian
-1.871 -0.750 1.610
-5.739 -2.138 5.574
-3.805 -1.444 3.592
0.000 0.000 0.000

6.
TiNbFeIr, relaxed, DFT GGA-PBE; space-group type = F-43m (216); crystal system = cubic; ΔH_f (0 K) = -1.6 eV/f.u.
1.0
-0.145 1.925 3.962
-3.672 2.046 1.323
-2.462 -1.748 3.211
Ir Fe Ti Nb
1 1 1 1
Cartesian
0.000 0.000 0.000
-3.139 1.111 4.248
-4.709 1.667 6.372
-1.570 0.556 2.124

7.
ScTl2FeIr, relaxed, DFT GGA-PBE; space-group type = P4/mmm (123); crystal system = tetragonal; ΔH_f (0 K) = 7.6 eV/f.u.
1.0
-2.910 3.164 -3.237
0.211 -2.859 -2.984
-4.518 -2.264 1.849
Tl Sc Fe Ir
2 1 1 1
Cartesian
-2.259 -1.132 0.924
-1.455 1.582 -1.618
0.000 0.000 0.000
0.106 -1.429 -1.492
-3.609 -0.979 -2.186

8.
RbLiOs3, relaxed, DFT GGA-PBE; space-group type = Pm-3m (221); crystal system = cubic; ΔH_f (0 K) = 19.3 eV/f.u.
1.0
-2.290 4.037 1.445
0.601 -1.320 4.640
4.245 2.365 0.123
Os Rb Li
3 1 1
Cartesian
0.301 -0.660 2.320
-1.145 2.018 0.722
2.123 1.182 0.061
0.000 0.000 0.000
1.278 2.541 3.104